(1)
# TlPRhS2 (PBE, relaxed)
# Calculated total energy: -4.426 eV per atom
# N(E_F): 1.10 states/eV/atom
# Energy above the lowest structure with this stoichiometry: 0 meV/atom
# Space group: P4/mmm, No. 123
data_TlPRhS2
_chemical_formula_sum 'Tl1 P1 Rh1 S2'
_cell_length_a 4.975
_cell_length_b 4.975
_cell_length_c 4.376
_cell_angle_alpha 90.00
_cell_angle_beta 90.00
_cell_angle_gamma 90.00
_space_group_name_H-M_alt 'P 1'
_space_group_IT_number 1
loop_
_space_group_symop_operation_xyz
'x,y,z'
loop_
_atom_site_label
_atom_site_fract_x
_atom_site_fract_y
_atom_site_fract_z
_atom_site_occupancy
Tl1 0.000 0.000 0.000 1
P1 0.500 0.500 0.000 1
Rh1 0.500 0.500 0.500 1
S1 0.000 0.500 0.500 1
S2 0.500 0.000 0.500 1

(2)
# TlP2RhS (PBE, relaxed)
# Calculated total energy: -3.183 eV per atom
# N(E_F): 1.28 states/eV/atom
# Energy above the lowest structure with this stoichiometry: 1392 meV/atom
# Space group: P4/mmm, No. 123
data_TlP2RhS
_chemical_formula_sum 'Tl1 P2 Rh1 S1'
_cell_length_a 5.018
_cell_length_b 5.018
_cell_length_c 5.028
_cell_angle_alpha 90.00
_cell_angle_beta 90.00
_cell_angle_gamma 90.00
_space_group_name_H-M_alt 'P 1'
_space_group_IT_number 1
loop_
_space_group_symop_operation_xyz
'x,y,z'
loop_
_atom_site_label
_atom_site_fract_x
_atom_site_fract_y
_atom_site_fract_z
_atom_site_occupancy
Tl1 0.000 0.000 0.000 1
P1 0.000 0.500 0.000 1
P2 0.500 0.000 0.000 1
Rh1 0.500 0.500 0.500 1
S1 0.000 0.000 0.500 1

> Which formula does entry 2 have?

TlP2RhS

> What is the formula in the first record?

TlPRhS2